Entry 1:
Rb2ZrCu2S4 | OQMD via LeMat-Bulk | PBE | optimized geometry; total energy = -4.88 eV per atom; magnetization = 0.0 μB per cell
1.0
-4.7803 -3.7079 4.1319
3.4692 -1.4794 -6.2808
4.3717 -2.3329 2.9642
Cu Rb S Zr
2 2 4 1
Cartesian
-0.6555 -2.5937 -1.0744
2.1858 -1.1664 1.4821
-1.2406 -2.4674 2.8454
4.9568 -2.4592 -0.9556
1.5602 -1.6575 -0.8073
-0.6961 -4.6905 0.1333
2.1579 -3.2616 2.7002
3.0993 -5.4308 -0.3955
0.0000 0.0000 0.0000

Entry 2:
RbZrCu3S4 | OQMD via LeMat-Bulk | PBE | optimized geometry; magnetization = 0.0 μB per cell; energy above the most stable polymorph in this dataset = 3.369 kcal/mol of atoms
1.0
6.0599 0.0000 0.0000
0.0000 6.0599 0.0000
0.0000 0.0000 6.0599
Cu Rb S Zr
3 1 4 1
Cartesian
3.0299 3.0299 0.0000
3.0299 0.0000 3.0299
0.0000 3.0299 3.0299
0.0000 0.0000 0.0000
1.6703 1.6703 1.6703
4.3896 4.3896 1.6703
4.3896 1.6703 4.3896
1.6703 4.3896 4.3896
3.0299 3.0299 3.0299

Entry 3:
RbZrCu3S4 | OQMD via LeMat-Bulk | PBE | optimized geometry; magnetization = 0.0 μB per cell; energy above the most stable polymorph in this dataset = 0.000 kcal/mol of atoms
1.0
5.7265 0.0000 0.0000
0.0000 7.3671 0.0000
-2.4174 0.0000 9.5711
Cu Rb S Zr
6 2 8 2
Cartesian
4.4380 4.0544 0.1731
4.4380 6.9963 0.1731
4.6286 5.5253 2.3398
-1.3195 1.8418 7.2313
-1.1289 0.3708 9.3981
-1.1289 3.3127 9.3981
3.1643 1.8418 3.7255
0.1448 5.5253 5.8457
3.0199 1.8418 0.3868
0.1605 0.0670 1.9595
0.1605 3.6165 1.9595
3.0158 5.5253 3.8700
0.2933 1.8418 5.7011
3.1486 3.7506 7.6116
3.1486 7.3001 7.6116
0.2892 5.5253 9.1844
1.6867 5.5253 1.8555
1.6224 1.8418 7.7156

Entry 4:
RbCu4Sb3 | OQMD via LeMat-Bulk | PBE | optimized geometry; total energy = -3.53 eV per atom
1.0
4.3231 0.0000 0.0000
0.0000 4.3231 0.0000
0.0000 0.0000 10.1264
Cu Rb Sb
4 1 3
Cartesian
2.1615 0.0000 1.5227
0.0000 2.1615 1.5227
2.1615 0.0000 8.6037
0.0000 2.1615 8.6037
0.0000 0.0000 5.0632
0.0000 0.0000 0.0000
2.1615 2.1615 2.9422
2.1615 2.1615 7.1842